Ca8Tl | PBE | relaxed

Properties
* symmetry: I4/mmm, No. 139
* energy: -2.119 eV/atom
* ΔH_f (0 K): -0.077 eV/atom
* total magnetic moment: 0.0 μB/f.u.

abc: 4.350 9.166 9.166
angles: 86.77 76.27 76.27
Fractional positions:
1 Ca 0.652 0.000 0.696
2 Ca 0.348 0.000 0.304
3 Ca 0.334 0.666 0.666
4 Ca 0.652 0.696 0.000
5 Ca 0.000 0.666 0.334
6 Ca 0.348 0.304 0.000
7 Ca 0.666 0.334 0.334
8 Ca 0.000 0.334 0.666
9 Tl 0.000 0.000 0.000

Ca3Tl | PBE | relaxed

Properties
* symmetry: R-3m, No. 166
* energy: -2.188 eV/atom
* ΔH_f (0 K): -0.095 eV/atom
* total magnetic moment: 0.0 μB/f.u.

abc: 6.707 6.707 6.707
angles: 116.57 116.57 116.57
Fractional positions:
1 Tl 0.000 0.500 0.500
2 Ca 0.000 0.000 0.000
3 Ca 0.500 0.000 0.500
4 Ca 0.500 0.500 0.000

CaTl | PBE | relaxed

Properties
* symmetry: P4/nmm, No. 129
* energy: -2.418 eV/atom
* ΔH_f (0 K): -0.234 eV/atom
* total magnetic moment: 0.0 μB/f.u.

abc: 4.312 4.312 6.930
angles: 90.00 90.00 90.00
Fractional positions:
1 Tl 0.250 0.250 0.633
2 Tl 0.750 0.750 0.367
3 Ca 0.250 0.250 0.164
4 Ca 0.750 0.750 0.836

Ca3Tl | PBE | relaxed

Properties
* symmetry: P4_2/n, No. 86
* energy: -2.344 eV/atom
* ΔH_f (0 K): -0.251 eV/atom
* total magnetic moment: 0.0 μB/f.u.

abc: 6.545 13.229 13.229
angles: 90.00 90.00 90.00
Fractional positions:
1 Ca 0.012 0.278 0.827
2 Ca 0.012 0.722 0.173
3 Ca 0.512 0.673 0.778
4 Ca 0.512 0.327 0.222
5 Ca 0.488 0.222 0.673
6 Ca 0.488 0.778 0.327
7 Ca 0.988 0.827 0.722
8 Ca 0.988 0.173 0.278
9 Ca 0.518 0.387 0.918
10 Ca 0.518 0.613 0.082
11 Ca 0.018 0.582 0.887
12 Ca 0.018 0.418 0.113
13 Ca 0.982 0.113 0.582
14 Ca 0.982 0.887 0.418
15 Ca 0.482 0.918 0.613
16 Ca 0.482 0.082 0.387
17 Ca 0.726 0.035 0.864
18 Ca 0.726 0.965 0.136
19 Ca 0.226 0.636 0.535
20 Ca 0.226 0.364 0.465
21 Ca 0.774 0.465 0.636
22 Ca 0.774 0.535 0.364
23 Ca 0.274 0.864 0.965
24 Ca 0.274 0.136 0.035
25 Tl 0.774 0.792 0.955
26 Tl 0.774 0.208 0.045
27 Tl 0.274 0.545 0.292
28 Tl 0.274 0.455 0.708
29 Tl 0.726 0.708 0.545
30 Tl 0.726 0.292 0.455
31 Tl 0.226 0.955 0.208
32 Tl 0.226 0.045 0.792

CaTl7 | PBE | relaxed

Properties
* symmetry: Fm-3m, No. 225
* energy: -2.419 eV/atom
* ΔH_f (0 K): -0.099 eV/atom
* total magnetic moment: 0.0 μB/f.u.

abc: 6.955 6.955 6.955
angles: 60.00 60.00 60.00
Fractional positions:
1 Ca 0.000 0.000 0.000
2 Tl 0.500 0.500 0.000
3 Tl 0.500 0.000 0.500
4 Tl 0.000 0.500 0.500
5 Tl 0.500 0.000 0.000
6 Tl 0.000 0.500 0.000
7 Tl 0.000 0.000 0.500
8 Tl 0.500 0.500 0.500

CaTl2 | PBE | relaxed

Properties
* symmetry: P-62m, No. 189
* energy: -2.416 eV/atom
* ΔH_f (0 K): -0.172 eV/atom
* total magnetic moment: 0.0 μB/f.u.

abc: 7.765 7.765 5.402
angles: 90.00 90.00 120.00
Fractional positions:
1 Ca 0.333 0.667 0.000
2 Ca 0.667 0.333 0.000
3 Ca 0.000 0.000 0.500
4 Tl 0.233 0.000 0.000
5 Tl 0.000 0.233 0.000
6 Tl 0.767 0.767 0.000
7 Tl 0.533 0.000 0.500
8 Tl 0.000 0.533 0.500
9 Tl 0.467 0.467 0.500